(1)
Compound: Ag2SbW
Source: the Alexandria database
Functional: PBE
Structure: optimized geometry

The total moment comes out at 0.00 μB/f.u. The value obtained for the total energy is -4.848 eV/atom.

The space group is P4/mmm (No. 123) and the conventional cell measures 5.2338, 5.2338 and 2.8437 Å, with angles of 90.00, 90.00 and 90.00 degrees. Symmetry generates all atoms from Ag at (0.0000, 0.5000, 0.0000), Sb at (0.0000, 0.0000, 0.5000) and W at (0.5000, 0.5000, 0.5000).



(2)
Compound: Ag2SbW
Source: the Alexandria database
Functional: PBE
Structure: optimized geometry

The total moment comes out at 0.00 μB/f.u. The value obtained for the total energy is -5.095 eV/atom.

The space group is Cmmm (No. 65) and the conventional cell measures 5.5537, 9.3859 and 2.8857 Å, with angles of 90.00, 90.00 and 90.00 degrees. Symmetry generates all atoms from Ag at (0.2500, 0.2500, 0.0000), Sb at (0.0000, 0.0000, 0.5000) and W at (0.0000, 0.5000, 0.5000).



(3)
Compound: Ag2SbW
Source: the Alexandria database
Functional: PBE
Structure: optimized geometry

The total moment comes out at 0.00 μB/f.u. The value obtained for the total energy is -5.126 eV/atom.

The space group is P4/mmm (No. 123) and the conventional cell measures 2.9021, 2.9021 and 9.2597 Å, with angles of 90.00, 90.00 and 90.00 degrees. Symmetry generates all atoms from Ag at (0.0000, 0.0000, 0.2245), Sb at (0.5000, 0.5000, 0.5000) and W at (0.5000, 0.5000, 0.0000).



(4)
Compound: AgSb2W
Source: the Alexandria database
Functional: PBE
Structure: optimized geometry

The total moment comes out at 0.00 μB/f.u. The value obtained for the total energy is -5.489 eV/atom.

The space group is Pmm2 (No. 25) and the conventional cell measures 2.9701, 4.2271 and 7.4790 Å, with angles of 90.00, 90.00 and 90.00 degrees. Symmetry generates all atoms from Ag at (0.0000, 0.0000, 0.0000), Sb at (0.0000, 0.0000, 0.6063), Sb at (0.5000, 0.5000, 0.1815) and W at (0.5000, 0.5000, 0.8054).



(5)
Compound: AgSb2W
Source: the Alexandria database
Functional: PBE
Structure: optimized geometry

The total moment comes out at 0.00 μB/f.u. The value obtained for the total energy is -5.419 eV/atom.

The space group is Cmmm (No. 65) and the conventional cell measures 3.6623, 5.0570 and 9.3420 Å, with angles of 90.00, 90.00 and 90.00 degrees. Symmetry generates all atoms from Ag at (0.0000, 0.0000, 0.0000), Sb at (0.0000, 0.5000, 0.2716) and W at (0.0000, 0.0000, 0.5000).



(6)
Compound: Ag2SbW
Source: the Alexandria database
Functional: PBE
Structure: optimized geometry

The total moment comes out at 0.00 μB/f.u. The value obtained for the total energy is -5.175 eV/atom.

The space group is P4mm (No. 99) and the conventional cell measures 3.4513, 3.4513 and 6.3124 Å, with angles of 90.00, 90.00 and 90.00 degrees. Symmetry generates all atoms from Ag at (0.0000, 0.0000, 0.0000), Ag at (0.5000, 0.5000, 0.2239), Sb at (0.0000, 0.0000, 0.5211) and W at (0.5000, 0.5000, 0.7324).



(7)
Compound: AgSb2W
Source: the Alexandria database
Functional: PBE
Structure: optimized geometry

The total moment comes out at 0.00 μB/f.u. The value obtained for the total energy is -5.380 eV/atom.

The space group is P4/mmm (No. 123) and the conventional cell measures 4.8342, 4.8342 and 3.4531 Å, with angles of 90.00, 90.00 and 90.00 degrees. Symmetry generates all atoms from Ag at (0.0000, 0.0000, 0.0000), Sb at (0.0000, 0.5000, 0.5000) and W at (0.5000, 0.5000, 0.0000).



(8)
Compound: AgSb2W
Source: the Alexandria database
Functional: PBE
Structure: optimized geometry

The total moment comes out at 0.39 μB/f.u. The value obtained for the total energy is -5.439 eV/atom.

The space group is R3m (No. 160, hexagonal axes) and the conventional cell measures 3.1105, 3.1105 and 32.5735 Å, with angles of 90.00, 90.00 and 120.00 degrees. Symmetry generates all atoms from Ag at (0.0000, 0.0000, 0.0000), Sb at (0.0000, 0.0000, 0.5276), Sb at (0.0000, 0.0000, 0.7418) and W at (0.0000, 0.0000, 0.2632).